# KRbHgAs

A relaxed structure of KRbHgAs (GGA-PBE, Alexandria via LeMat-Bulk). Values from VASP.

Properties
The value obtained for the density of states at the Fermi level is 3.74 states/eV/f.u. Its space group is F-43m, No. 216. The calculated volume is 35.75 Å³ per atom. The value obtained for the formation energy is -0.160 eV per atom. The calculation puts the spin magnetization at 1.0 μB/cell.

Geometry as Quantum ESPRESSO input:
```
&SYSTEM
  ibrav = 0, nat = 4, ntyp = 4
/
ATOMIC_SPECIES
As 74.92 As.upf
Hg 200.59 Hg.upf
Rb 85.47 Rb.upf
K 39.10 K.upf
ATOMIC_POSITIONS crystal
As 0.5000 0.5000 0.5000
Hg 0.0000 0.0000 0.0000
Rb 0.2500 0.2500 0.2500
K 0.7500 0.7500 0.7500
CELL_PARAMETERS angstrom
-4.5680 -0.9514 3.5608
-4.7330 -2.8418 -1.9935
-1.1703 -5.4342 1.8844
```